VASP calculation (PBE) on DyHoPa after structural relaxation.

For the excess energy over the best structure of this formula in the dataset, the calculation gives 30.8 meV/atom. The value obtained for the energy of formation from the pure elements is 0.44 eV per formula unit.

It has space group I4mm (No. 107), with a = 3.3967 Å, b = 3.3967 Å, c = 15.0485 Å, α = 90.00°, β = 90.00° and γ = 90.00°. The asymmetric unit holds Dy at (0.0000, 0.0000, 0.0000), Ho at (0.0000, 0.0000, 0.3141) and Pa at (0.0000, 0.0000, 0.6574).

---

VASP calculation (PBE) on Sr4Pr3S8 after structural relaxation.

For the uncorrected formation energy, the calculation gives -2.028 eV/atom.

It has space group C2/m (No. 12), with a = 11.7851 Å, b = 11.8366 Å, c = 8.3567 Å, α = 90.00°, β = 134.56° and γ = 90.00°. The asymmetric unit holds Sr at (0.0000, 0.0000, 0.0000), Sr at (0.0000, 0.5000, 0.5000), Sr at (0.2500, 0.2500, 0.0000), Pr at (0.0000, 0.5000, 0.0000), Pr at (0.2500, 0.2500, 0.5000), S at (0.0000, 0.2517, 0.5000), S at (0.0000, 0.2530, 0.0000), S at (0.2383, 0.5000, 0.9912) and S at (0.2457, 0.5000, 0.4915).

---

VASP calculation (PBE) on La3Hg2Rh after structural relaxation.

For the excess energy over the best structure of this formula in the dataset, the calculation gives 0.0 meV/atom. The value obtained for the energy of formation from the pure elements is -3.34 eV per formula unit.

It has space group Cmmm (No. 65), with a = 5.3260 Å, b = 16.0443 Å, c = 7.7175 Å, α = 90.00°, β = 90.00° and γ = 90.00°. The asymmetric unit holds La at (0.0000, 0.0000, 0.2372), La at (0.0000, 0.3234, 0.2199), Hg at (0.0000, 0.1661, 0.5000), Hg at (0.0000, 0.5000, 0.0000), Hg at (0.0000, 0.5000, 0.5000) and Rh at (0.0000, 0.1462, 0.0000).

---

Repeat the third record exactly.
VASP calculation (PBE) on La3Hg2Rh after structural relaxation.

For the excess energy over the best structure of this formula in the dataset, the calculation gives 0.0 meV/atom. The value obtained for the energy of formation from the pure elements is -3.34 eV per formula unit.

It has space group Cmmm (No. 65), with a = 5.3260 Å, b = 16.0443 Å, c = 7.7175 Å, α = 90.00°, β = 90.00° and γ = 90.00°. The asymmetric unit holds La at (0.0000, 0.0000, 0.2372), La at (0.0000, 0.3234, 0.2199), Hg at (0.0000, 0.1661, 0.5000), Hg at (0.0000, 0.5000, 0.0000), Hg at (0.0000, 0.5000, 0.5000) and Rh at (0.0000, 0.1462, 0.0000).